The following is a PBE calculation of a geometry-optimized LiCaInGe structure, from Alexandria via LeMat-Bulk.

The structure belongs to space group F-43m (No. 216); the cell edges are 7.153, 7.153 and 7.153 Å and the angles 90.00°, 90.00° and 90.00°. The inequivalent atoms are Li at (0.000, 0.000, 0.000), Ca at (0.000, 0.000, 0.500), In at (0.250, 0.250, 0.250) and Ge at (0.250, 0.250, 0.750).

The volume comes out at 365.95 Å³/cell. The calculation puts the energy at -3.15 eV/atom.